Material: Ni3OsF
Method: DFT, GGA+U
State: relaxed

Cell: 3.993 3.993 3.993 Å, 90.00 90.00 90.00°
Last column: magnetic moment on the atom in μB.
Element x y z (fractional)
Ni 0.000 0.500 0.000  1.21
Ni 0.000 0.000 0.500  1.26
Ni 0.500 0.000 0.000  1.29
Os 0.500 0.500 0.500  0.39
F 0.000 0.000 0.000  0.09

Output
Crystal system = cubic
Density = 10.05 g cm⁻³
Distance to the lowest polymorph of the same formula = 0.0 meV/atom
DOS at the Fermi energy = 4.552 states/eV/cell